# PBE with a Hubbard U Co2BTeF, relaxed
# **Final energy**: -4.00 eV/atom
# **Crystal system**: tetragonal
data_Co2BTeF
_chemical_formula_sum 'Co2 B1 Te1 F1'
_cell_length_a 4.0310
_cell_length_b 4.6171
_cell_length_c 4.0310
_cell_angle_alpha 90.00
_cell_angle_beta 90.00
_cell_angle_gamma 90.00
_space_group_name_H-M_alt 'P 1'
_space_group_IT_number 1
loop_
_space_group_symop_operation_xyz
'x,y,z'
loop_
_atom_site_label
_atom_site_type_symbol
_atom_site_fract_x
_atom_site_fract_y
_atom_site_fract_z
_atom_site_occupancy
B1 B 0.0000 0.0000 0.0000 1
Te1 Te 0.0000 0.5000 0.0000 1
Co1 Co 0.0000 0.0000 0.5000 1
Co2 Co 0.5000 0.0000 0.0000 1
F1 F 0.5000 0.5000 0.5000 1